A relaxed structure of WSeO3, computed with PBE+U.

Lattice parameters (Å, degrees): 3.989 3.989 3.989 90.00 90.00 90.00
Site moments in Bohr magnetons follow the coordinates.
Positions (direct):
O 0.000 0.500 0.000  -0.03
O 0.000 0.000 0.500  0.08
O 0.500 0.000 0.000  -0.09
Se 0.500 0.500 0.500  1.05
W 0.000 0.000 0.000  1.03

Density (g/cm3): 8.13
Uncorrected energy (eV/atom): -5.9120
Spin magnetization (μB/cell): 2.7